# Y2ZrAlC | Alexandria via LeMat-Bulk | PBE | optimized geometry
data_Y2ZrAlC
_chemical_formula_sum 'Y2 Zr1 Al1 C1'
_cell_length_a 5.8413
_cell_length_b 5.8413
_cell_length_c 3.6381
_cell_angle_alpha 90.00
_cell_angle_beta 90.00
_cell_angle_gamma 90.00
_symmetry_space_group_name_H-M 'P 4/m m m'
_symmetry_Int_Tables_number 123
_symmetry_space_group_name_Hall '-P 4 2'
loop_
_atom_site_label
_atom_site_type_symbol
_atom_site_fract_x
_atom_site_fract_y
_atom_site_fract_z
_atom_site_occupancy
Y1 Y 0.0000 0.5000 0.0000 1
Zr1 Zr 0.0000 0.0000 0.5000 1
Al1 Al 0.5000 0.5000 0.0000 1
C1 C 0.5000 0.5000 0.5000 1
# Relative energy among the computed polymorphs in meV/atom: 1307.0
# D(E_F) in states/eV/f.u.: 7.0
# Crystal system: tetragonal



# Yb3AlC | Alexandria via LeMat-Bulk | PBE | optimized geometry
data_Yb3AlC
_chemical_formula_sum 'Yb3 Al1 C1'
_cell_length_a 5.0084
_cell_length_b 5.0084
_cell_length_c 5.0084
_cell_angle_alpha 90.00
_cell_angle_beta 90.00
_cell_angle_gamma 90.00
_symmetry_space_group_name_H-M 'P m -3 m'
_symmetry_Int_Tables_number 221
_symmetry_space_group_name_Hall '-P 4 2 3'
loop_
_atom_site_label
_atom_site_type_symbol
_atom_site_fract_x
_atom_site_fract_y
_atom_site_fract_z
_atom_site_occupancy
Yb1 Yb 0.0000 0.0000 0.5000 1
Al1 Al 0.5000 0.5000 0.5000 1
C1 C 0.0000 0.0000 0.0000 1
# Uncorrected energy in eV per cell: -16.70
# D(E_F) in states/eV/f.u.: 6.8
# Crystal system: cubic